# SnIrAu PBE-GGA relaxed
data_SnIrAu
_chemical_formula_sum 'Sn4 Ir4 Au4'
_cell_length_a 6.300
_cell_length_b 6.300
_cell_length_c 6.300
_cell_angle_alpha 90.00
_cell_angle_beta 90.00
_cell_angle_gamma 90.00
_space_group_name_H-M_alt 'F -4 3 m'
_space_group_IT_number 216
_space_group_name_Hall 'F -4 2 3'
loop_
_atom_site_label
_atom_site_fract_x
_atom_site_fract_y
_atom_site_fract_z
Sn1 0.000 0.000 0.000
Ir1 0.250 0.250 0.750
Au1 0.000 0.000 0.500
# - Distance to the lowest polymorph of the same formula: 0.000 eV/atom
# - Total DFT energy (no corrections): -5.37 eV per atom